[1]
Material: Y2Tm2Tl2S
Method: DFT, PBE
State: relaxed

Geometry as POSCAR:
```
Y2Tm2Tl2S
1.0
4.994 0.000 0.000
0.000 4.994 0.000
-2.497 -2.497 7.995
Tl Y Tm S
2 2 2 1
Direct
0.633 0.633 0.265
0.367 0.367 0.735
0.172 0.172 0.344
0.828 0.828 0.656
0.500 0.000 0.000
0.000 0.500 0.000
0.000 0.000 0.000
```

Results
The uncorrected formation energy comes out at -0.69 eV per atom. The value obtained for the density of states at the Fermi level is 4.27 states/eV/f.u. As for the space-group type: I4/mmm.

[2]
Material: Tm3GePd
Method: DFT, PBE
State: relaxed

Geometry as POSCAR:
```
Tm3GePd
1.0
4.200 0.000 0.000
0.000 7.567 -0.521
0.000 -2.228 7.744
Ge Tm Pd
2 6 2
Direct
0.250 0.363 0.219
0.750 0.637 0.781
0.750 0.326 0.945
0.250 0.350 0.596
0.250 0.922 0.765
0.750 0.078 0.235
0.250 0.674 0.055
0.750 0.650 0.404
0.250 0.921 0.394
0.750 0.079 0.606
```

Results
The value obtained for the density of states at the Fermi level is 4.46 states/eV/f.u. The energy relative to the elements is -693 meV per atom. As for the space-group type: P2_1/m.

[3]
Material: BaVGe2Bi
Method: DFT, PBE
State: relaxed

Geometry as POSCAR:
```
BaVGe2Bi
1.0
-5.512 -0.155 1.223
1.126 -0.267 5.043
-0.088 5.638 0.318
Ge Ba Bi V
2 1 1 1
Direct
0.500 0.000 0.000
0.000 0.000 0.500
0.500 0.500 0.500
0.000 0.000 0.000
0.000 0.500 0.000
```

Results
The value obtained for the density of states at the Fermi level is 7.37 states/eV/f.u. The energy relative to the elements is 766 meV per atom. As for the space-group type: P4/mmm.

[4]
Material: CaYFe
Method: DFT, PBE
State: relaxed

Geometry as POSCAR:
```
CaYFe
1.0
4.854 0.000 0.000
2.427 4.204 0.000
2.427 1.401 3.964
Ca Y Fe
1 1 1
Direct
0.500 0.500 0.500
0.000 0.000 0.000
0.750 0.750 0.750
```

Results
The value obtained for the density of states at the Fermi level is 7.39 states/eV/f.u. The energy relative to the elements is 525 meV per atom. The value obtained for the excess energy over the best structure of this formula in the dataset is 25.6 kJ per mole of atoms. As for the space-group type: F-43m.

[5]
Material: Mn2VGa2
Method: DFT, PBE
State: relaxed

Geometry as POSCAR:
```
Mn2VGa2
1.0
-5.795 -0.951 1.149
1.407 -1.961 5.475
-0.317 3.579 1.363
Mn Ga V
4 4 2
Direct
0.867 0.633 0.000
0.133 0.367 0.000
0.633 0.133 0.000
0.367 0.867 0.000
0.829 0.329 0.500
0.329 0.171 0.500
0.171 0.671 0.500
0.671 0.829 0.500
0.000 0.000 0.000
0.500 0.500 0.000
```

Results
The value obtained for the density of states at the Fermi level is 3.18 states/eV/f.u. The energy relative to the elements is 101 meV per atom. The value obtained for the excess energy over the best structure of this formula in the dataset is 20.0 kJ per mole of atoms. As for the space-group type: P4/mbm.

[6]
Material: NaAs2I6
Method: DFT, PBE
State: relaxed

Geometry as POSCAR:
```
NaAs2I6
1.0
7.842 0.000 0.000
3.921 6.791 0.000
3.921 2.264 8.303
As I Na
2 6 1
Direct
0.722 0.722 0.835
0.611 0.611 0.166
0.255 0.572 0.248
0.417 0.087 0.754
0.742 0.417 0.754
0.572 0.925 0.248
0.925 0.255 0.248
0.087 0.742 0.754
0.334 0.334 0.998
```

Results
The uncorrected formation energy comes out at -0.29 eV per atom. The value obtained for the density of states at the Fermi level is 6.03 states/eV/f.u. As for the space-group type: R3.

[7]
Material: Be3Te
Method: DFT, PBE
State: relaxed

Geometry as POSCAR:
```
Be3Te
1.0
3.712 0.000 0.000
0.000 5.051 0.000
0.000 0.000 8.374
Te Be
2 6
Direct
0.000 0.000 0.319
0.500 0.500 0.681
0.000 0.500 0.874
0.500 0.738 0.933
0.500 0.262 0.933
0.000 0.762 0.067
0.000 0.238 0.067
0.500 0.000 0.126
```

Results
The uncorrected formation energy comes out at 0.21 eV per atom. The value obtained for the density of states at the Fermi level is 0.98 states/eV/f.u. The value obtained for the excess energy over the best structure of this formula in the dataset is 0.0 kJ per mole of atoms. As for the space-group type: Pmmn.

[8]
Material: CaHgGe3
Method: DFT, PBE
State: relaxed

Geometry as POSCAR:
```
CaHgGe3
1.0
5.499 0.000 0.000
0.000 5.499 0.000
0.000 0.000 5.499
Ge Ca Hg
3 1 1
Direct
0.000 0.500 0.000
0.500 0.000 0.000
0.000 0.000 0.500
0.000 0.000 0.000
0.500 0.500 0.500
```

Results
The value obtained for the density of states at the Fermi level is 6.35 states/eV/f.u. The energy relative to the elements is 913 meV per atom. The value obtained for the excess energy over the best structure of this formula in the dataset is 46.2 kJ per mole of atoms. As for the space-group type: Pm-3m.

[9]
Material: HoP2RuRh5
Method: DFT, PBE
State: relaxed

Geometry as POSCAR:
```
HoP2RuRh5
1.0
3.936 0.000 0.000
0.000 3.936 0.000
0.000 0.000 10.424
P Rh Ho Ru
2 5 1 1
Direct
0.000 0.000 0.284
0.000 0.000 0.716
0.500 0.000 0.164
0.000 0.000 0.500
0.500 0.000 0.836
0.000 0.500 0.164
0.000 0.500 0.836
0.500 0.500 0.500
0.000 0.000 0.000
```

Results
The value obtained for the density of states at the Fermi level is 7.95 states/eV/f.u. The energy relative to the elements is -181 meV per atom. As for the space-group type: P4/mmm.

[10]
Material: Pu2AsH
Method: DFT, PBE
State: relaxed

Geometry as POSCAR:
```
Pu2AsH
1.0
-5.591 0.290 -1.449
0.753 -4.329 -3.771
-2.205 -6.594 7.190
Pu As H
8 4 4
Direct
0.751 0.992 0.912
0.243 0.506 0.839
0.757 0.006 0.339
0.751 0.508 0.588
0.243 0.994 0.661
0.249 0.008 0.088
0.757 0.494 0.161
0.249 0.492 0.412
0.742 0.010 0.625
0.258 0.990 0.375
0.742 0.490 0.875
0.258 0.510 0.125
0.868 0.115 0.124
0.132 0.615 0.624
0.132 0.885 0.876
0.868 0.385 0.376
```

Results
The value obtained for the density of states at the Fermi level is 14.05 states/eV/f.u. The value obtained for the excess energy over the best structure of this formula in the dataset is 13.4 kJ per mole of atoms. As for the space-group type: P2/c.

[11]
Material: LaYTl2
Method: DFT, PBE
State: relaxed

Geometry as POSCAR:
```
LaYTl2
1.0
-0.157 -2.382 2.651
3.354 0.973 -0.730
-0.762 7.945 7.095
Tl Y La
2 1 1
Direct
0.000 0.000 0.015
0.500 0.500 0.244
0.000 0.000 0.485
0.500 0.500 0.756
```

Results
The value obtained for the density of states at the Fermi level is 3.68 states/eV/f.u. The energy relative to the elements is -57 meV per atom. As for the space-group type: Cmm2.

[12]
Material: Rh2O2F7
Method: DFT, PBE
State: relaxed

Geometry as POSCAR:
```
Rh2O2F7
1.0
-3.223 0.123 -5.339
-4.125 1.936 2.911
0.395 5.386 0.263
O F Rh
2 7 2
Direct
0.500 0.902 0.098
0.500 0.098 0.902
0.837 0.566 0.566
0.808 0.518 0.053
0.000 0.000 0.000
0.808 0.053 0.518
0.163 0.434 0.434
0.192 0.482 0.947
0.192 0.947 0.482
0.985 0.761 0.761
0.015 0.239 0.239
```

Results
The uncorrected formation energy comes out at -1.06 eV per atom. The value obtained for the density of states at the Fermi level is 6.75 states/eV/f.u. As for the space-group type: C2/m.